The following is a PBE-GGA calculation of crystalline Zr2CoPb at its relaxed geometry, from the Alexandria database.

Computed properties:
Energy of formation   -0.275 eV/f.u.
Theoretical density   9.18 g cm⁻³
Uncorrected energy   -56.371 eV for the cell shown

Cell lengths 3.333, 4.706, 10.348 Å; angles 90.00, 90.00, 90.00 degrees
Space group Imm2 (No. 44)
Asymmetric unit:
Zr (0.000, 0.000, 0.000)
Zr (0.000, 0.500, 0.212)
Co (0.000, 0.500, 0.693)
Pb (0.000, 0.000, 0.416)

=====

The following is a PBE-GGA calculation of crystalline Zr2CoPb at its relaxed geometry, from the Alexandria database.

Computed properties:
Energy of formation   1.040 eV/f.u.
Theoretical density   9.30 g cm⁻³
Uncorrected energy   -107.483 eV for the cell shown

Cell lengths 6.843, 6.843, 6.843 Å; angles 90.00, 90.00, 90.00 degrees
Space group F-43m (No. 216)
Asymmetric unit:
Zr (0.000, 0.000, 0.000)
Zr (0.250, 0.250, 0.250)
Co (0.000, 0.000, 0.500)
Pb (0.250, 0.250, 0.750)

=====

The following is a PBE-GGA calculation of crystalline Zr2CoPb at its relaxed geometry, from the Alexandria database.

Computed properties:
Energy of formation   0.334 eV/f.u.
Theoretical density   8.72 g cm⁻³
Uncorrected energy   -110.306 eV for the cell shown

Cell lengths 7.539, 7.539, 6.013 Å; angles 90.00, 90.00, 90.00 degrees
Space group I-42d (No. 122)
Asymmetric unit:
Zr (0.189, 0.250, 0.125)
Co (0.000, 0.000, 0.000)
Pb (0.000, 0.000, 0.500)

=====

The following is a PBE-GGA calculation of crystalline Zr2CoPb2 at its relaxed geometry, from the Alexandria database.

Computed properties:
Energy of formation   0.649 eV/f.u.
Theoretical density   9.46 g cm⁻³
Uncorrected energy   -61.940 eV for the cell shown

Cell lengths 6.762, 6.762, 5.035 Å; angles 90.00, 90.00, 90.00 degrees
Space group P4/mbm (No. 127)
Asymmetric unit:
Zr (0.165, 0.335, 0.000)
Co (0.000, 0.000, 0.000)
Pb (0.166, 0.666, 0.500)

=====

The following is a PBE-GGA calculation of crystalline ZrCoPb2 at its relaxed geometry, from the Alexandria database.

Computed properties:
Energy of formation   1.205 eV/f.u.
Theoretical density   10.95 g cm⁻³
Uncorrected energy   -65.597 eV for the cell shown

Cell lengths 3.3170, 3.3170, 26.9592 Å; angles 90.00, 90.00, 120.00 degrees
Space group R-3m (No. 166, hexagonal axes)
Asymmetric unit:
Zr (0.0000, 0.0000, 0.0000)
Co (0.0000, 0.0000, 0.5000)
Pb (0.0000, 0.0000, 0.2379)

=====

The following is a PBE-GGA calculation of crystalline ZrCo2Pb at its relaxed geometry, from the Alexandria database.

Computed properties:
Energy of formation   0.214 eV/f.u.
Theoretical density   9.33 g cm⁻³
Uncorrected energy   -78.763 eV for the cell shown

Cell lengths 3.9135, 3.9135, 16.7561 Å; angles 90.00, 90.00, 120.00 degrees
Space group R3m (No. 160, hexagonal axes)
Asymmetric unit:
Zr (0.0000, 0.0000, 0.0000)
Co (0.0000, 0.0000, 0.2434)
Co (0.0000, 0.0000, 0.5770)
Pb (0.0000, 0.0000, 0.8084)

=====

The following is a PBE-GGA calculation of crystalline ZrCoPb2 at its relaxed geometry, from the Alexandria database.

Computed properties:
Energy of formation   0.966 eV/f.u.
Theoretical density   10.98 g cm⁻³
Uncorrected energy   -44.209 eV for the cell shown

Cell lengths 4.311, 5.279, 7.502 Å; angles 90.00, 90.00, 90.00 degrees
Space group Cmmm (No. 65)
Asymmetric unit:
Zr (0.000, 0.000, 0.000)
Co (0.000, 0.000, 0.500)
Pb (0.000, 0.500, 0.282)

=====

The following is a PBE-GGA calculation of crystalline ZrCoPb2 at its relaxed geometry, from the Alexandria database.

Computed properties:
Energy of formation   1.045 eV/f.u.
Theoretical density   10.89 g cm⁻³
Uncorrected energy   -44.052 eV for the cell shown

Cell lengths 4.194, 4.194, 9.791 Å; angles 90.00, 90.00, 90.00 degrees
Space group I-4m2 (No. 119)
Asymmetric unit:
Zr (0.000, 0.000, 0.000)
Co (0.000, 0.500, 0.750)
Pb (0.000, 0.000, 0.500)
Pb (0.000, 0.500, 0.250)

=====

The following is a PBE-GGA calculation of crystalline ZrCo2Pb at its relaxed geometry, from the Alexandria database.

Computed properties:
Energy of formation   0.546 eV/f.u.
Theoretical density   9.81 g cm⁻³
Uncorrected energy   -25.922 eV for the cell shown

Cell lengths 3.221, 3.221, 6.790 Å; angles 90.00, 90.00, 90.00 degrees
Space group P4mm (No. 99)
Asymmetric unit:
Zr (0.000, 0.000, 0.000)
Co (0.000, 0.000, 0.372)
Co (0.500, 0.500, 0.237)
Pb (0.500, 0.500, 0.649)

=====

The following is a PBE-GGA calculation of crystalline Zr2CoPb at its relaxed geometry, from the Alexandria database.

Computed properties:
Energy of formation   0.129 eV/f.u.
Theoretical density   9.27 g cm⁻³
Uncorrected energy   -55.564 eV for the cell shown

Cell lengths 4.082, 4.082, 9.651 Å; angles 90.00, 90.00, 90.00 degrees
Space group I-4m2 (No. 119)
Asymmetric unit:
Zr (0.000, 0.000, 0.000)
Zr (0.000, 0.500, 0.250)
Co (0.000, 0.500, 0.750)
Pb (0.000, 0.000, 0.500)

=====

The following is a PBE-GGA calculation of crystalline Zr3CoPb at its relaxed geometry, from the Alexandria database.

Computed properties:
Energy of formation   -0.699 eV/f.u.
Theoretical density   8.16 g cm⁻³
Uncorrected energy   -74.316 eV for the cell shown

Cell lengths 6.8870, 6.8870, 5.3487 Å; angles 90.00, 90.00, 120.00 degrees
Space group P6_3/mmc (No. 194)
Asymmetric unit:
Zr (0.1755, 0.3510, 0.2500)
Co (0.0000, 0.0000, 0.0000)
Pb (0.3333, 0.6667, 0.7500)

=====

The following is a PBE-GGA calculation of crystalline ZrCo2Pb at its relaxed geometry, from the Alexandria database.

Computed properties:
Energy of formation   1.345 eV/f.u.
Theoretical density   9.60 g cm⁻³
Uncorrected energy   -75.371 eV for the cell shown

Cell lengths 3.2936, 3.2936, 22.9980 Å; angles 90.00, 90.00, 120.00 degrees
Space group R-3m (No. 166, hexagonal axes)
Asymmetric unit:
Zr (0.0000, 0.0000, 0.0000)
Co (0.0000, 0.0000, 0.2545)
Pb (0.0000, 0.0000, 0.5000)

=====

The following is a PBE-GGA calculation of crystalline ZrCo2Pb at its relaxed geometry, from the Alexandria database.

Computed properties:
Energy of formation   0.041 eV/f.u.
Theoretical density   10.25 g cm⁻³
Uncorrected energy   -52.854 eV for the cell shown

Cell lengths 3.953, 3.588, 9.513 Å; angles 90.00, 90.00, 90.00 degrees
Space group Amm2 (No. 38)
Asymmetric unit:
Zr (0.000, 0.000, 0.000)
Co (0.000, 0.000, 0.708)
Co (0.500, 0.000, 0.562)
Pb (0.500, 0.000, 0.286)

=====

The following is a PBE-GGA calculation of crystalline Zr3CoPb at its relaxed geometry, from the Alexandria database.

Computed properties:
Energy of formation   8.593 eV/f.u.
Theoretical density   5.94 g cm⁻³
Uncorrected energy   -27.865 eV for the cell shown

Cell lengths 5.324, 5.324, 5.324 Å; angles 90.00, 90.00, 90.00 degrees
Space group Pm-3m (No. 221)
Asymmetric unit:
Zr (0.000, 0.000, 0.500)
Co (0.500, 0.500, 0.500)
Pb (0.000, 0.000, 0.000)

=====

The following is a PBE-GGA calculation of crystalline Zr2CoPb at its relaxed geometry, from the Alexandria database.

Computed properties:
Energy of formation   -0.118 eV/f.u.
Theoretical density   9.00 g cm⁻³
Uncorrected energy   -28.029 eV for the cell shown

Cell lengths 3.276, 3.276, 7.713 Å; angles 90.00, 90.00, 90.00 degrees
Space group P4mm (No. 99)
Asymmetric unit:
Zr (0.000, 0.000, 0.000)
Zr (0.500, 0.500, 0.282)
Co (0.000, 0.000, 0.460)
Pb (0.500, 0.500, 0.695)

=====

The following is a PBE-GGA calculation of crystalline Zr2CoPb at its relaxed geometry, from the Alexandria database.

Computed properties:
Energy of formation   -0.481 eV/f.u.
Theoretical density   8.52 g cm⁻³
Uncorrected energy   -85.175 eV for the cell shown

Cell lengths 3.5286, 3.5286, 24.3237 Å; angles 90.00, 90.00, 120.00 degrees
Space group R-3m (No. 166, hexagonal axes)
Asymmetric unit:
Zr (0.0000, 0.0000, 0.2283)
Co (0.0000, 0.0000, 0.5000)
Pb (0.0000, 0.0000, 0.0000)

=====

The following is a PBE-GGA calculation of crystalline Zr2Co2Pb at its relaxed geometry, from the Alexandria database.

Computed properties:
Energy of formation   -0.096 eV/f.u.
Theoretical density   8.77 g cm⁻³
Uncorrected energy   -70.225 eV for the cell shown

Cell lengths 3.361, 3.361, 17.007 Å; angles 90.00, 90.00, 90.00 degrees
Space group I4/mmm (No. 139)
Asymmetric unit:
Zr (0.000, 0.000, 0.129)
Co (0.000, 0.500, 0.250)
Pb (0.000, 0.000, 0.500)

=====

The following is a PBE-GGA calculation of crystalline Zr2CoPb at its relaxed geometry, from the Alexandria database.

Computed properties:
Energy of formation   -0.077 eV/f.u.
Theoretical density   9.37 g cm⁻³
Uncorrected energy   -27.987 eV for the cell shown

Cell lengths 4.310, 4.310, 4.279 Å; angles 90.00, 90.00, 90.00 degrees
Space group P4/mmm (No. 123)
Asymmetric unit:
Zr (0.000, 0.500, 0.000)
Co (0.000, 0.000, 0.500)
Pb (0.500, 0.500, 0.500)

=====

The following is a PBE-GGA calculation of crystalline ZrCo4Pb at its relaxed geometry, from the Alexandria database.

Computed properties:
Energy of formation   -0.093 eV/f.u.
Theoretical density   10.34 g cm⁻³
Uncorrected energy   -163.090 eV for the cell shown

Cell lengths 7.001, 7.001, 7.001 Å; angles 90.00, 90.00, 90.00 degrees
Space group F-43m (No. 216)
Asymmetric unit:
Zr (0.000, 0.000, 0.000)
Co (0.125, 0.125, 0.625)
Pb (0.250, 0.250, 0.250)

=====

The following is a PBE-GGA calculation of crystalline ZrCo2Pb at its relaxed geometry, from the Alexandria database.

Computed properties:
Energy of formation   0.119 eV/f.u.
Theoretical density   10.14 g cm⁻³
Uncorrected energy   -26.349 eV for the cell shown

Cell lengths 3.304, 3.304, 6.244 Å; angles 90.00, 90.00, 90.00 degrees
Space group P4/mmm (No. 123)
Asymmetric unit:
Zr (0.000, 0.000, 0.000)
Co (0.500, 0.500, 0.226)
Pb (0.000, 0.000, 0.500)